(1)
Computed, not measured: a relaxed B7C5 crystal at the GGA-PBE level of DFT.

It has space group Pm (No. 6), with a = 3.622 Å, b = 2.679 Å, c = 8.550 Å, α = 90.00°, β = 97.49° and γ = 90.00°. The inequivalent atoms are B at (0.000, 0.000, 0.000), B at (0.040, 0.500, 0.264), B at (0.194, 0.500, 0.906), B at (0.279, 0.500, 0.104), B at (0.465, 0.500, 0.492), B at (0.672, 0.000, 0.134), B at (0.743, 0.000, 0.782), C at (0.204, 0.500, 0.624), C at (0.468, 0.500, 0.783), C at (0.677, 0.000, 0.463), C at (0.878, 0.000, 0.320) and C at (0.959, 0.000, 0.624).

The calculation puts the energy above the most stable polymorph in this dataset at 0.269 eV per atom.


(2)
Computed, not measured: a relaxed BC crystal at the GGA-PBE level of DFT.

It has space group Cm (No. 8), with a = 13.499 Å, b = 2.543 Å, c = 4.753 Å, α = 90.00°, β = 101.86° and γ = 90.00°. The inequivalent atoms are B at (0.000, 0.000, 0.000), B at (0.008, 0.000, 0.349), B at (0.131, 0.000, 0.173), B at (0.197, 0.000, 0.857), B at (0.207, 0.500, 0.398), B at (0.367, 0.500, 0.165), C at (0.036, 0.500, 0.565), C at (0.146, 0.500, 0.670), C at (0.316, 0.000, 0.943), C at (0.327, 0.500, 0.477), C at (0.361, 0.000, 0.669) and C at (0.475, 0.000, 0.789).

The calculation puts the energy above the most stable polymorph in this dataset at 0.216 eV per atom.


Which value of energy above the most stable polymorph in this dataset does entry 2 give? 0.216 eV per atom


Which value of energy above the most stable polymorph in this dataset does entry 2 give? 0.216 eV per atom


Repeat the first record exactly.
Computed, not measured: a relaxed B7C5 crystal at the GGA-PBE level of DFT.

It has space group Pm (No. 6), with a = 3.622 Å, b = 2.679 Å, c = 8.550 Å, α = 90.00°, β = 97.49° and γ = 90.00°. The inequivalent atoms are B at (0.000, 0.000, 0.000), B at (0.040, 0.500, 0.264), B at (0.194, 0.500, 0.906), B at (0.279, 0.500, 0.104), B at (0.465, 0.500, 0.492), B at (0.672, 0.000, 0.134), B at (0.743, 0.000, 0.782), C at (0.204, 0.500, 0.624), C at (0.468, 0.500, 0.783), C at (0.677, 0.000, 0.463), C at (0.878, 0.000, 0.320) and C at (0.959, 0.000, 0.624).

The calculation puts the energy above the most stable polymorph in this dataset at 0.269 eV per atom.